A PBEsol-optimized structure of LiReIr2. Source: Alexandria via LeMat-Bulk, functional meta-GGA SCAN.

Values from the calculation:
Final energy: -53.85 eV per atom
DOS at the Fermi energy: 0.9561 states/eV per atom
Total moment: 0.000 μB/atom
Crystal system: tetragonal
Energy of formation: 73 meV per atom

abc: 3.9400 3.9400 3.4945
angles: 90.00 90.00 90.00
Closest atoms and distances in Å follow each position.
Fractional coordinates of all 4 atoms:
Li 0.0000 0.0000 0.0000  8 Ir 2.63, 4 Re 2.79
Re 0.5000 0.5000 0.0000  8 Ir 2.63, 4 Li 2.79
Ir 0.0000 0.5000 0.5000  4 Li 2.63, 4 Re 2.63, 4 Ir 2.79
Ir 0.5000 0.0000 0.5000  4 Li 2.63, 4 Re 2.63, 4 Ir 2.79

=====

A PBEsol-optimized structure of LiReIr2. Source: Alexandria via LeMat-Bulk, functional meta-GGA SCAN.

Values from the calculation:
Final energy: -53.46 eV per atom
DOS at the Fermi energy: 0.5837 states/eV per atom
Total moment: 0.000 μB/atom
Crystal system: tetragonal
Energy of formation: 463 meV per atom

abc: 5.6241 5.6241 5.6241
angles: 102.15 102.15 125.39
Closest atoms and distances in Å follow each position.
Fractional coordinates of all 8 atoms:
Li 0.0000 0.0000 0.0000  2 Re 2.58, 4 Ir 2.77
Li 0.7500 0.2500 0.5000  2 Re 2.58, 4 Ir 2.77
Re 0.2500 0.7500 0.5000  4 Ir 2.40, 2 Li 2.58
Re 0.5000 0.5000 0.0000  4 Ir 2.40, 2 Li 2.58
Ir 0.1630 0.1250 0.5380  2 Re 2.40, 2 Ir 2.64
Ir 0.3750 0.8370 0.9620  2 Re 2.40, 2 Ir 2.64
Ir 0.5870 0.6250 0.4620  2 Re 2.40, 2 Ir 2.64
Ir 0.8750 0.4130 0.0380  2 Re 2.40, 2 Ir 2.64

=====

A PBEsol-optimized structure of LiReIr. Source: Alexandria via LeMat-Bulk, functional meta-GGA SCAN.

Values from the calculation:
Final energy: -48.25 eV per atom
DOS at the Fermi energy: 0.4873 states/eV per atom
Total moment: 0.000 μB/atom
Crystal system: orthorhombic
Energy of formation: -56 meV per atom

abc: 4.4946 4.4946 4.4946
angles: 145.08 129.25 63.08
Closest atoms and distances in Å follow each position.
Fractional coordinates of all 3 atoms:
Li 0.0000 0.0000 0.0000  5 Re 2.49-2.71, 5 Ir 2.53-2.69, 2 Li 2.70
Re 0.6749 0.6749 0.0000  5 Li 2.49-2.71, 5 Ir 2.64, 2 Re 2.70
Ir 0.3306 0.3306 0.0000  5 Li 2.53-2.69, 5 Re 2.64, 2 Ir 2.70

=====

A PBEsol-optimized structure of LiReIr. Source: Alexandria via LeMat-Bulk, functional meta-GGA SCAN.

Values from the calculation:
Final energy: -48.26 eV per atom
DOS at the Fermi energy: 0.3217 states/eV per atom
Total moment: 0.000 μB/atom
Crystal system: trigonal
Energy of formation: -67 meV per atom

abc: 4.1232 4.1232 2.6546
angles: 90.00 90.00 120.00
Closest atoms and distances in Å follow each position.
Fractional coordinates of all 3 atoms:
Li 0.0000 0.0000 0.0000  3 Ir 2.47, 3 Re 2.57, 2 Li 2.65
Re 0.3333 0.6667 0.6353  3 Li 2.57, 3 Ir 2.60, 2 Re 2.65
Ir 0.6667 0.3333 0.2451  3 Li 2.47, 3 Re 2.60, 2 Ir 2.65

=====

A PBEsol-optimized structure of LiReIr2. Source: Alexandria via LeMat-Bulk, functional meta-GGA SCAN.

Values from the calculation:
Final energy: -54.00 eV per atom
DOS at the Fermi energy: 0.6245 states/eV per atom
Total moment: 0.000 μB/atom
Crystal system: monoclinic
Energy of formation: -83 meV per atom

abc: 2.6597 4.0751 5.1359
angles: 90.00 104.97 90.00
Closest atoms and distances in Å follow each position.
Fractional coordinates of all 4 atoms:
Li 0.0000 0.0000 0.0000  5 Ir 2.47-2.59, 2 Re 2.50, 2 Li 2.66
Re 0.1633 0.5000 0.2906  2 Li 2.50, 7 Ir 2.64-2.67, 2 Re 2.66
Ir 0.4259 0.5000 0.8281  4 Li 2.56-2.59, 3 Re 2.64-2.67, 2 Ir 2.66
Ir 0.7667 0.0000 0.5016  1 Li 2.47, 4 Re 2.65, 2 Ir 2.66

=====

A PBEsol-optimized structure of LiIr2Rh. Source: Alexandria via LeMat-Bulk, functional meta-GGA SCAN.

Values from the calculation:
Final energy: -44.72 eV per atom
DOS at the Fermi energy: 0.7794 states/eV per atom
Total moment: 0.000 μB/atom
Crystal system: tetragonal
Energy of formation: -130 meV per atom

abc: 4.5881 4.5881 4.5881
angles: 131.90 131.90 70.39
Closest atoms and distances in Å follow each position.
Fractional coordinates of all 4 atoms:
Li 0.0000 0.0000 0.0000  8 Ir 2.64-2.65, 4 Rh 2.65
Ir 0.2500 0.7500 0.5000  4 Rh 2.64, 4 Li 2.65, 4 Ir 2.65
Ir 0.5000 0.5000 0.0000  4 Li 2.64, 4 Ir 2.65, 4 Rh 2.65
Rh 0.7500 0.2500 0.5000  8 Ir 2.64-2.65, 4 Li 2.65